This record from Alexandria via LeMat-Bulk describes an optimized crystal structure of LaZnTeN2. The functional is GGA-PBE.

- Raw formation energy: 0.624 eV/atom
- Fermi-level density of states: 3.63 states/eV/f.u.

Cell and atoms, written as CIF:
```
data_LaZnTeN2
_chemical_formula_sum 'La1 Zn1 Te1 N2'
_cell_length_a 4.363
_cell_length_b 4.363
_cell_length_c 5.085
_cell_angle_alpha 90.00
_cell_angle_beta 90.00
_cell_angle_gamma 90.00
_space_group_name_H-M_alt 'P 4/m m m'
_space_group_IT_number 123
_space_group_name_Hall '-P 4 2'
loop_
_atom_site_label
_atom_site_fract_x
_atom_site_fract_y
_atom_site_fract_z
La1 0.000 0.000 0.000
Zn1 0.500 0.500 0.500
Te1 0.500 0.500 0.000
N1 0.000 0.500 0.500
```